# 1
Density functional theory data (PBE) for SiHg3Cl6O2 after structural relaxation.

abc: 7.171 7.171 6.528
angles: 90.00 90.00 120.00
Fractional positions:
Si: 0.000 0.000 0.000
Hg: 0.000 0.500 0.500
Hg: 0.500 0.000 0.500
Hg: 0.500 0.500 0.500
Cl: 0.149 0.297 0.809
Cl: 0.149 0.851 0.809
Cl: 0.297 0.149 0.191
Cl: 0.703 0.851 0.809
Cl: 0.851 0.149 0.191
Cl: 0.851 0.703 0.191
O: 0.333 0.667 0.427
O: 0.667 0.333 0.573


# 2
Density functional theory data (PBE) for BePt after structural relaxation.

abc: 5.036 5.036 5.036
angles: 90.00 90.00 90.00
Fractional positions:
Be: 0.000 0.000 0.000
Be: 0.000 0.500 0.500
Be: 0.500 0.000 0.500
Be: 0.500 0.500 0.000
Pt: 0.250 0.250 0.750
Pt: 0.250 0.750 0.250
Pt: 0.750 0.250 0.250
Pt: 0.750 0.750 0.750


# 3
Density functional theory data (PBE) for Er3GaO6 after structural relaxation.

abc: 7.014 7.014 5.351
angles: 90.00 90.00 102.78
Fractional positions:
Er: 0.102 0.898 0.500
Er: 0.202 0.413 0.451
Er: 0.413 0.202 0.951
Er: 0.587 0.798 0.451
Er: 0.798 0.587 0.951
Er: 0.898 0.102 0.000
Ga: 0.307 0.693 0.921
Ga: 0.693 0.307 0.421
O: 0.076 0.605 0.739
O: 0.143 0.178 0.725
O: 0.178 0.143 0.225
O: 0.283 0.717 0.261
O: 0.395 0.924 0.739
O: 0.463 0.537 0.772
O: 0.537 0.463 0.272
O: 0.605 0.076 0.239
O: 0.717 0.283 0.761
O: 0.822 0.857 0.725
O: 0.857 0.822 0.225
O: 0.924 0.395 0.239


| no. | VASP energy (eV/atom) |
| --- | --- |
| 1 | -2.91 |
| 2 | -4.86 |
| 3 | -7.85 |